1.
A geometry-optimized Pr3Al2GePt9 structure. Source: Alexandria via LeMat-Bulk, functional PBE-GGA.

Values from the calculation:
E_tot, eV per atom: -6.056

Unit cell a=6.6022 b=6.6022 c=8.6679 alpha=90.00 beta=90.00 gamma=120.00
Space group P-3m1 (No. 164)
One atom of each set of equivalent atoms:
Pr: 0.0000 0.0000 0.0000 x1
Pr: 0.3333 0.6667 0.7108 x2
Al: 0.3333 0.6667 0.1881 x2
Ge: 0.0000 0.0000 0.5000 x1
Pt: 0.0000 0.5000 0.0000 x3
Pt: 0.1406 0.2813 0.2828 x6


2.
A geometry-optimized Pr2AlGe3Pt4 structure. Source: Alexandria via LeMat-Bulk, functional PBE-GGA.

Values from the calculation:
E_tot, eV per atom: -6.130

Unit cell a=4.3732 b=4.3732 c=10.1786 alpha=90.00 beta=90.00 gamma=90.00
Space group P-4m2 (No. 115)
One atom of each set of equivalent atoms:
Pr: 0.0000 0.5000 0.2487 x2
Al: 0.5000 0.5000 0.0000 x1
Ge: 0.0000 0.0000 0.0000 x1
Ge: 0.0000 0.5000 0.6297 x2
Pt: 0.0000 0.0000 0.5000 x1
Pt: 0.0000 0.5000 0.8729 x2
Pt: 0.5000 0.5000 0.5000 x1


3.
A geometry-optimized Pr2Al3GePt4 structure. Source: Alexandria via LeMat-Bulk, functional PBE-GGA.

Values from the calculation:
E_tot, eV per atom: -6.037

Unit cell a=4.3583 b=4.3583 c=10.2287 alpha=90.00 beta=90.00 gamma=90.00
Space group P-4m2 (No. 115)
One atom of each set of equivalent atoms:
Pr: 0.0000 0.5000 0.2468 x2
Al: 0.0000 0.0000 0.0000 x1
Al: 0.0000 0.5000 0.6256 x2
Ge: 0.5000 0.5000 0.0000 x1
Pt: 0.0000 0.0000 0.5000 x1
Pt: 0.0000 0.5000 0.8695 x2
Pt: 0.5000 0.5000 0.5000 x1


4.
A geometry-optimized PrAlGePt3 structure. Source: Alexandria via LeMat-Bulk, functional PBE-GGA.

Values from the calculation:
E_tot, eV per atom: -5.989

Unit cell a=6.8553 b=12.3057 c=5.6658 alpha=90.00 beta=90.00 gamma=90.00
Space group Cmcm (No. 63)
One atom of each set of equivalent atoms:
Pr: 0.0000 0.2113 0.2500 x4
Al: 0.0000 0.4695 0.2500 x4
Ge: 0.0000 0.1275 0.7500 x4
Pt: 0.0000 0.3253 0.7500 x4
Pt: 0.2089 0.0000 0.0000 x8


5.
A geometry-optimized Pr2Al2GeRh5 structure. Source: Alexandria via LeMat-Bulk, functional PBE-GGA.

Values from the calculation:
E_tot, eV per atom: -6.560

Unit cell a=10.0311 b=10.0311 c=3.4900 alpha=90.00 beta=90.00 gamma=90.00
Space group P4/mbm (No. 127)
One atom of each set of equivalent atoms:
Pr: 0.1763 0.3237 0.0000 x4
Al: 0.1220 0.6220 0.0000 x4
Ge: 0.0000 0.0000 0.0000 x2
Rh: 0.0000 0.5000 0.5000 x2
Rh: 0.0639 0.7961 0.5000 x8


6.
A geometry-optimized Pr2AlGe3Rh4 structure. Source: Alexandria via LeMat-Bulk, functional PBE-GGA.

Values from the calculation:
E_tot, eV per atom: -6.548

Unit cell a=4.2561 b=4.2561 c=10.2655 alpha=90.00 beta=90.00 gamma=90.00
Space group P-4m2 (No. 115)
One atom of each set of equivalent atoms:
Pr: 0.0000 0.5000 0.2493 x2
Al: 0.5000 0.5000 0.0000 x1
Ge: 0.0000 0.0000 0.0000 x1
Ge: 0.0000 0.5000 0.6293 x2
Rh: 0.0000 0.0000 0.5000 x1
Rh: 0.0000 0.5000 0.8704 x2
Rh: 0.5000 0.5000 0.5000 x1


7.
A geometry-optimized Pr2AlGe2Rh5 structure. Source: Alexandria via LeMat-Bulk, functional PBE-GGA.

Values from the calculation:
E_tot, eV per atom: -6.658

Unit cell a=9.9977 b=9.9977 c=3.5594 alpha=90.00 beta=90.00 gamma=90.00
Space group P4/mbm (No. 127)
One atom of each set of equivalent atoms:
Pr: 0.1752 0.3248 0.0000 x4
Al: 0.0000 0.0000 0.0000 x2
Ge: 0.1237 0.6237 0.0000 x4
Rh: 0.0000 0.5000 0.5000 x2
Rh: 0.0644 0.7925 0.5000 x8


8.
A geometry-optimized Pr2Sm2AlGe4 structure. Source: Alexandria via LeMat-Bulk, functional PBE-GGA.

Values from the calculation:
E_tot, eV per atom: -4.916

Unit cell a=7.1167 b=7.1167 c=8.9058 alpha=90.00 beta=90.00 gamma=90.00
Space group I4/mmm (No. 139)
One atom of each set of equivalent atoms:
Pr: 0.0000 0.5000 0.2500 x4
Sm: 0.0000 0.0000 0.1865 x4
Al: 0.0000 0.0000 0.5000 x2
Ge: 0.2478 0.2478 0.5000 x8


9.
A geometry-optimized PrThAlGe structure. Source: Alexandria via LeMat-Bulk, functional PBE-GGA.

Values from the calculation:
E_tot, eV per atom: -5.728

Unit cell a=4.1218 b=4.4928 c=11.4087 alpha=90.00 beta=90.00 gamma=90.00
Space group Amm2 (No. 38)
One atom of each set of equivalent atoms:
Pr: 0.0000 0.0000 0.0000 x2
Th: 0.5000 0.0000 0.2846 x2
Al: 0.5000 0.0000 0.5707 x2
Ge: 0.0000 0.0000 0.7193 x2


10.
A geometry-optimized PrYAlGe structure. Source: Alexandria via LeMat-Bulk, functional PBE-GGA.

Values from the calculation:
E_tot, eV per atom: -5.584

Unit cell a=4.0966 b=4.4817 c=11.1298 alpha=90.00 beta=90.00 gamma=90.00
Space group Amm2 (No. 38)
One atom of each set of equivalent atoms:
Pr: 0.0000 0.0000 0.0000 x2
Y: 0.5000 0.0000 0.2814 x2
Al: 0.0000 0.0000 0.7161 x2
Ge: 0.5000 0.0000 0.5676 x2


11.
A geometry-optimized AlGe2Pt structure. Source: Alexandria via LeMat-Bulk, functional PBE-GGA.

Values from the calculation:
E_tot, eV per atom: -4.890

Unit cell a=4.0313 b=4.0313 c=17.2618 alpha=90.00 beta=90.00 gamma=90.00
Space group I-42d (No. 122)
One atom of each set of equivalent atoms:
Al: 0.0000 0.0000 0.0000 x4
Ge: 0.2487 0.2500 0.1250 x8
Pt: 0.0000 0.0000 0.5000 x4


12.
A geometry-optimized AlGePt4 structure. Source: Alexandria via LeMat-Bulk, functional PBE-GGA.

Values from the calculation:
E_tot, eV per atom: -5.392

Unit cell a=7.5801 b=7.6463 c=3.9783 alpha=90.00 beta=90.00 gamma=90.00
Space group Cmmm (No. 65)
One atom of each set of equivalent atoms:
Al: 0.0000 0.0000 0.0000 x2
Ge: 0.0000 0.5000 0.5000 x2
Pt: 0.0000 0.3119 0.0000 x4
Pt: 0.1845 0.0000 0.5000 x4